No. 1
{"formula": "Re2PBr", "functional": "PBE", "state": "optimized geometry", "cell": [[-1.321, 0.017, -3.760], [4.865, -0.914, 0.074], [0.671, -3.815, -0.904]], "species": ["Br", "P", "Re", "Re"], "frac_coords": [[0.000, 0.500, 0.500], [0.500, 0.500, 0.000], [0.000, 0.000, 0.000], [0.500, 0.000, 0.500]], "magnetic_moment_mub_per_cell": 0.0, "energy_ev_per_atom": -6.85, "dos_ef_per_ev_cell": 3.7, "e_form_raw_ev_per_atom": 1.14}


No. 2
{"formula": "KSc2Ir", "functional": "PBE", "state": "optimized geometry", "cell": [[5.910, -0.009, 0.000], [3.079, 5.045, 0.000], [-4.494, -2.518, 2.897]], "species": ["Ir", "K", "Sc", "Sc"], "frac_coords": [[0.500, 0.500, 0.000], [0.750, 0.250, 0.500], [0.000, 0.000, 0.000], [0.250, 0.750, 0.500]], "magnetic_moment_mub_per_cell": 0.0, "energy_ev_per_atom": -5.22, "ef_ev_per_atom": 0.43, "dos_ef_per_ev_cell": 3.7}


> What is the formula in the first record?

Re2PBr